# Pr2Er3PuTe6

An optimized crystal structure of Pr2Er3PuTe6 (PBE, Alexandria).

Unit cell a=9.907 b=9.907 c=8.914 alpha=104.22 beta=104.22 gamma=25.44
Element x y z (fractional)
Pr: 0.168 0.168 0.335
Pr: 0.832 0.832 0.665
Er: 0.169 0.169 0.836
Er: 0.500 0.500 0.500
Er: 0.831 0.831 0.164
Pu: 0.500 0.500 0.000
Te: 0.004 0.004 0.746
Te: 0.332 0.332 0.926
Te: 0.338 0.338 0.405
Te: 0.662 0.662 0.595
Te: 0.668 0.668 0.074
Te: 0.996 0.996 0.254

# BaMoPt2

An optimized crystal structure of BaMoPt2 (PBE, Alexandria).

Unit cell a=3.339 b=3.339 c=7.743 alpha=90.00 beta=90.00 gamma=90.00
Element x y z (fractional)
Ba: 0.000 0.000 0.000
Mo: 0.000 0.000 0.500
Pt: 0.500 0.500 0.320
Pt: 0.500 0.500 0.680

Relative energy among the computed polymorphs (eV per atom): 0.1921
Calculated formation energy (meV/atom): -66.2

# TiHg2Pb

An optimized crystal structure of TiHg2Pb (PBE, Alexandria).

Unit cell a=6.059 b=6.059 c=6.059 alpha=44.65 beta=44.65 gamma=44.65
Element x y z (fractional)
Ti: 0.000 0.000 0.000
Hg: 0.406 0.406 0.406
Hg: 0.616 0.616 0.616
Pb: 0.187 0.187 0.187

Calculated formation energy (meV/atom): 214.6

no.,spin magnetization (μB/atom),calculated total energy (eV/atom),density of states at the Fermi level (states/eV/cell)
1,0.511,-5.991,13.73
2,0.342,-6.275,4.39
3,0.000,-2.837,2.33